Record 1
A plane-wave DFT calculation with PBE was carried out for a relaxed VBRu crystal.

Cell and atoms, written as POSCAR:
```
VBRu
1.0
5.2315 -1.4650 0.0000
5.2315 1.4650 0.0000
-0.9258 0.0000 4.2975
V B Ru
2 2 2
Cartesian
1.2408 0.0000 1.4535
8.2963 0.0000 2.8440
1.6282 0.0000 3.7389
7.9089 0.0000 0.5587
4.1953 0.0000 0.8983
5.3418 0.0000 3.3992
```

- VASP energy: -8.86 eV/atom
- Formation energy: -0.50 eV/atom
- Energy above the lowest structure with this stoichiometry: 0 meV per atom
- Symmetry: C2/m, No. 12
- Spin magnetization: 0.0000 μB per atom

---

Record 2
A plane-wave DFT calculation with PBE was carried out for a relaxed VB2Ru2 crystal.

Cell and atoms, written as POSCAR:
```
VB2Ru2
1.0
6.1391 0.0000 0.0000
0.0000 6.1391 0.0000
0.0000 0.0000 2.7788
V B Ru
2 4 4
Cartesian
0.0000 0.0000 0.0000
3.0696 3.0696 0.0000
0.8670 2.2026 0.0000
2.2026 5.2722 0.0000
3.9365 0.8670 0.0000
5.2722 3.9365 0.0000
0.9527 4.0223 1.3894
2.1168 0.9527 1.3894
4.0223 5.1864 1.3894
5.1864 2.1168 1.3894
```

- VASP energy: -8.48 eV/atom
- Formation energy: -0.27 eV/atom
- Symmetry: P4/mbm, No. 127
- Spin magnetization: 0.0001 μB per atom

---

Record 3
A plane-wave DFT calculation with PBE was carried out for a relaxed VB2Ru crystal.

Cell and atoms, written as POSCAR:
```
VB2Ru
1.0
-2.2458 2.2458 5.1537
2.2458 -2.2458 5.1537
2.2458 2.2458 -5.1537
V B Ru
2 4 2
Cartesian
0.0000 0.0000 0.0000
0.0000 2.2458 2.5769
1.1229 -1.0140 3.8653
1.2318 1.1229 1.2884
1.1229 3.2598 -1.2884
1.0140 1.1229 6.4421
2.2458 0.0000 2.5769
0.0000 0.0000 5.1537
```

- VASP energy: -7.29 eV/atom
- Formation energy: 0.64 eV/atom
- Energy above the lowest structure with this stoichiometry: 1142 meV per atom
- Symmetry: I-42d, No. 122
- Spin magnetization: 0.0001 μB per atom

---

Record 4
A plane-wave DFT calculation with PBE was carried out for a relaxed V2BRu crystal.

Cell and atoms, written as POSCAR:
```
V2BRu
1.0
-3.4388 3.4388 2.1483
3.4388 -3.4388 2.1483
3.4388 3.4388 -2.1483
V B Ru
4 2 2
Cartesian
5.1582 1.0242 -0.5371
1.0242 1.7194 0.5371
-1.7194 2.4145 1.6112
2.4145 1.7194 2.6854
0.0000 0.0000 0.0000
0.0000 3.4388 1.0741
3.4388 0.0000 1.0741
0.0000 0.0000 2.1483
```

- VASP energy: -8.44 eV/atom
- Formation energy: 0.11 eV/atom
- Symmetry: I-42d, No. 122
- Spin magnetization: 0.0001 μB per atom

---

Record 5
A plane-wave DFT calculation with PBE was carried out for a relaxed VBRu crystal.

Cell and atoms, written as POSCAR:
```
VBRu
1.0
2.9495 0.0000 0.0000
0.0000 1.4750 3.9059
0.0000 -1.4750 3.9059
V B Ru
1 1 1
Cartesian
0.0000 0.0000 0.0000
1.4748 0.0000 3.1525
1.4748 0.0000 5.4474
```

- VASP energy: -8.64 eV/atom
- Formation energy: -0.28 eV/atom
- Energy above the lowest structure with this stoichiometry: 219 meV per atom
- Symmetry: Amm2, No. 38
- Spin magnetization: 0.0000 μB per atom

---

Record 6
A plane-wave DFT calculation with PBE was carried out for a relaxed VBRu crystal.

Cell and atoms, written as POSCAR:
```
VBRu
1.0
4.4868 -1.4492 0.0000
4.4868 1.4492 0.0000
-3.6637 0.0000 5.0588
V B Ru
2 2 2
Cartesian
1.2342 0.0000 0.3967
4.0756 0.0000 4.6621
-1.3777 0.0000 3.3447
6.6876 0.0000 1.7141
1.4373 0.0000 3.2477
3.8725 0.0000 1.8112
```

- VASP energy: -8.72 eV/atom
- Formation energy: -0.37 eV/atom
- Energy above the lowest structure with this stoichiometry: 137 meV per atom
- Symmetry: C2/m, No. 12
- Spin magnetization: 0.0005 μB per atom

---

Record 7
A plane-wave DFT calculation with PBE was carried out for a relaxed VBRu crystal.

Cell and atoms, written as POSCAR:
```
VBRu
1.0
1.5037 -7.2759 0.0000
1.5037 7.2759 0.0000
0.0000 0.0000 2.9661
V B Ru
2 2 2
Cartesian
1.5037 6.0842 2.2246
1.5037 -6.0842 0.7415
1.5037 0.4817 2.2246
1.5037 -0.4817 0.7415
1.5037 2.7455 2.2246
1.5037 -2.7455 0.7415
```

- VASP energy: -8.84 eV/atom
- Formation energy: -0.48 eV/atom
- Energy above the lowest structure with this stoichiometry: 24 meV per atom
- Symmetry: Cmcm, No. 63
- Spin magnetization: 0.0000 μB per atom

---

Record 8
A plane-wave DFT calculation with PBE was carried out for a relaxed VBRu crystal.

Cell and atoms, written as POSCAR:
```
VBRu
1.0
2.8309 0.0000 0.0000
0.0000 1.4422 4.2104
0.0000 -1.4422 4.2104
V B Ru
1 1 1
Cartesian
0.0000 0.0000 0.0000
0.0000 0.0000 5.8568
1.4155 0.0000 2.4569
```

- VASP energy: -8.63 eV/atom
- Formation energy: -0.28 eV/atom
- Energy above the lowest structure with this stoichiometry: 226 meV per atom
- Symmetry: Amm2, No. 38
- Spin magnetization: 0.0000 μB per atom